[1]
VASP calculation (GGA-PBE) on a geometry-optimized Tm6As3PbSe2 structure.

a b c (Å): 17.9509 4.0602 8.3226
angles (deg): 90.00 103.52 90.00
Closest atoms and distances in Å follow each position.
Space group C2/m (No. 12)
Asymmetric unit:
1 Tm 0.0013 0.0000 0.2346 x4  3 As 2.81-2.90, 1 Se 2.98, 2 Pb 3.00
2 Tm 0.1647 0.5000 0.0911 x4  3 As 2.84-2.87, 3 Se 2.90-2.94
3 Tm 0.1719 0.5000 0.5783 x4  3 As 2.81-2.88, 2 Se 2.98, 1 Pb 3.00
4 As 0.0000 0.5000 0.0000 x2  6 Tm 2.81-2.87
5 As 0.1671 0.0000 0.3313 x4  6 Tm 2.81-2.90
6 Pb 0.0000 0.5000 0.5000 x2  6 Tm 3.00
7 Se 0.1692 0.0000 0.8385 x4  6 Tm 2.90-2.98

Summary:
- Magnetization: 0.00 μB per formula unit
- DOS(E_F): 4.58 states/eV/cell
- Uncorrected energy: -5.70 eV/atom

---

[2]
VASP calculation (GGA-PBE) on a geometry-optimized Li2InFe structure.

a b c (Å): 3.0372 4.5394 4.6869
angles (deg): 90.00 90.00 90.00
Closest atoms and distances in Å follow each position.
Space group Pmmm (No. 47)
Asymmetric unit:
1 Li 0.0000 0.0000 0.0000 x1  6 Li 2.73-3.04, 4 Fe 2.79
2 Li 0.5000 0.5000 0.0000 x1  6 Li 2.73-3.04, 4 In 2.79
3 In 0.0000 0.5000 0.5000 x1  4 Fe 2.73, 4 Li 2.79, 2 In 3.04
4 Fe 0.5000 0.0000 0.5000 x1  4 In 2.73, 4 Li 2.79, 2 Fe 3.04

Summary:
- Magnetization: 2.33 μB per formula unit
- DOS(E_F): 2.85 states/eV/cell
- Energy of formation: 0.0904 eV/atom

---

[3]
VASP calculation (GGA-PBE) on a geometry-optimized EuScP2 structure.

a b c (Å): 3.9507 3.9507 19.4595
angles (deg): 90.00 90.00 120.00
Closest atoms and distances in Å follow each position.
Space group R-3m (No. 166, hexagonal axes)
Asymmetric unit:
1 Eu 0.0000 0.0000 0.0000 x3  6 P 2.90
2 Sc 0.0000 0.0000 0.5000 x3  6 P 2.70
3 P 0.0000 0.0000 0.2412 x6  3 Sc 2.70, 3 Eu 2.90

Summary:
- Magnetization: 6.35 μB per formula unit
- DOS(E_F): 24.75 states/eV/cell
- Energy of formation: -1.2437 eV/atom

---

[4]
VASP calculation (GGA-PBE) on a geometry-optimized Si3W structure.

a b c (Å): 4.8183 4.8183 4.8183
angles (deg): 90.00 90.00 90.00
Closest atoms and distances in Å follow each position.
Space group Pm-3n (No. 223)
Asymmetric unit:
1 Si 0.0000 0.2500 0.5000 x6  2 Si 2.41, 4 W 2.69
2 W 0.0000 0.0000 0.0000 x2  12 Si 2.69

Summary:
- Magnetization: 0.00 μB per formula unit
- DOS(E_F): 2.15 states/eV/cell
- Uncorrected energy: -7.18 eV/atom

---

[5]
VASP calculation (GGA-PBE) on a geometry-optimized TbPmEr3 structure.

a b c (Å): 3.5979 11.5057 8.5399
angles (deg): 90.00 102.15 90.00
Closest atoms and distances in Å follow each position.
Space group P2_1/m (No. 11)
Asymmetric unit:
1 Tb 0.1851 0.2500 0.3694 x2  6 Er 3.21-3.43, 2 Pm 3.41
2 Pm 0.4885 0.7500 0.9779 x2  2 Er 3.32, 2 Tb 3.41, 2 Pm 3.60
3 Er 0.1562 0.7500 0.3123 x2  2 Tb 3.21, 2 Pm 3.32, 4 Er 3.39
4 Er 0.3422 0.0008 0.6843 x4  6 Er 3.39-3.60, 2 Tb 3.43, 1 Pm 3.79

Summary:
- Magnetization: 0.00 μB per formula unit
- DOS(E_F): 15.07 states/eV/cell
- Energy of formation: 0.3039 eV/atom

---

[6]
VASP calculation (GGA-PBE) on a geometry-optimized PmThTeN2 structure.

a b c (Å): 4.0855 4.0855 13.5940
angles (deg): 90.00 90.00 90.00
Closest atoms and distances in Å follow each position.
Space group I4mm (No. 107)
Asymmetric unit:
1 Pm 0.0000 0.0000 0.0000 x2  4 N 2.36
2 Th 0.0000 0.0000 0.3338 x2  4 N 2.31
3 Te 0.0000 0.0000 0.6678 x2  4 Th 3.67, 4 Pm 3.68, 8 N 3.91-4.02, 4 Te 4.09
4 N 0.0000 0.5000 0.4129 x4  2 Th 2.31, 2 Pm 2.36

Summary:
- Magnetization: 0.00 μB per formula unit
- DOS(E_F): 9.10 states/eV/cell
- Uncorrected energy: -7.80 eV/atom

---

[7]
VASP calculation (GGA-PBE) on a geometry-optimized ErMgCoPd structure.

a b c (Å): 6.5352 6.5352 6.5352
angles (deg): 90.00 90.00 90.00
Closest atoms and distances in Å follow each position.
Space group F-43m (No. 216)
Asymmetric unit:
1 Er 0.0000 0.0000 0.0000 x4  4 Pd 2.83, 4 Co 2.83
2 Mg 0.0000 0.0000 0.5000 x4  4 Co 2.83, 4 Pd 2.83
3 Co 0.2500 0.2500 0.2500 x4  4 Er 2.83, 4 Mg 2.83
4 Pd 0.2500 0.2500 0.7500 x4  4 Mg 2.83, 4 Er 2.83

Summary:
- Magnetization: 0.00 μB per formula unit
- DOS(E_F): 10.04 states/eV/cell
- Energy of formation: -0.3899 eV/atom

---

[8]
VASP calculation (GGA-PBE) on a geometry-optimized Dy2HoNi2 structure.

a b c (Å): 11.4346 5.7125 7.0959
angles (deg): 90.00 100.72 90.00
Closest atoms and distances in Å follow each position.
Space group C2/c (No. 15)
Asymmetric unit:
1 Dy 0.1607 0.1098 0.1548 x8  4 Ni 2.81-2.93
2 Ho 0.0000 0.4081 0.7500 x4  4 Ni 2.70-2.75
3 Ni 0.1630 0.3679 0.5121 x8  1 Ni 2.43, 1 Ho 2.70

Summary:
- Magnetization: 0.00 μB per formula unit
- DOS(E_F): 20.17 states/eV/cell
- Energy of formation: -0.3293 eV/atom